# TlInPb3

A relaxed TlInPb3 crystal (PBE, Alexandria).

Lattice parameters (Å, degrees): 9.3747 9.3747 7.0028 101.45 101.45 30.46
Atoms (fractional coordinates):
Tl (0.1990, 0.1990, 0.3504)
Tl (0.8010, 0.8010, 0.6496)
In (0.3979, 0.3979, 0.9462)
In (0.6021, 0.6021, 0.0538)
Pb (0.0032, 0.0032, 0.7607)
Pb (0.1991, 0.1991, 0.8539)
Pb (0.4027, 0.4027, 0.4500)
Pb (0.5973, 0.5973, 0.5500)
Pb (0.8009, 0.8009, 0.1461)
Pb (0.9968, 0.9968, 0.2393)

Calculated values
Mass density ... 10.2 g cm⁻³
Magnetization ... 0.00 μB per formula unit
Polymorph energy (0 for the lowest one) ... 0 meV per atom
Symmetry ... No. 12
Electronic total energy ... -3.24 eV per atom

# Zr2TiCI

A relaxed Zr2TiCI crystal (PBE, Alexandria).

Lattice parameters (Å, degrees): 5.1753 5.1753 3.9550 90.00 90.00 90.00
Atoms (fractional coordinates):
Zr (0.0000, 0.5000, 0.0000)
Zr (0.5000, 0.0000, 0.0000)
Ti (0.0000, 0.0000, 0.0000)
C (0.0000, 0.0000, 0.5000)
I (0.5000, 0.5000, 0.5000)

Calculated values
Mass density ... 5.8 g cm⁻³
Magnetization ... 0.00 μB per formula unit
Symmetry ... No. 123
Electronic total energy ... -6.34 eV per atom
Uncorrected formation energy ... 0.816 eV per atom

# ThIn3Hg2

A relaxed ThIn3Hg2 crystal (PBE, Alexandria).

Lattice parameters (Å, degrees): 7.4295 7.4295 4.6987 90.00 90.00 143.47
Atoms (fractional coordinates):
Th (0.0000, 0.0000, 0.0000)
In (0.1733, 0.8267, 0.5000)
In (0.5000, 0.5000, 0.5000)
In (0.8267, 0.1733, 0.5000)
Hg (0.3297, 0.6703, 0.0000)
Hg (0.6703, 0.3297, 0.0000)

Calculated values
Mass density ... 10.5 g cm⁻³
Magnetization ... 0.00 μB per formula unit
Symmetry ... No. 65
Electronic total energy ... -2.87 eV per atom